Computed, not measured: a relaxed SmGd2N3 crystal at the PBE level of DFT.

Computed properties:
SG: P-3m1

Cell lengths 3.526, 3.526, 8.631 Å; angles 90.00, 90.00, 120.00 degrees
Fractional coordinates of all 6 atoms:
N 0.000 0.000 0.000
Sm 0.000 0.000 0.500
Gd 0.667 0.333 0.165
N 0.333 0.667 0.330
N 0.667 0.333 0.670
Gd 0.333 0.667 0.835

---

Computed, not measured: a relaxed Tb2GdN3 crystal at the PBE level of DFT.

Computed properties:
SG: P-3m1

Cell lengths 3.490, 3.490, 8.555 Å; angles 90.00, 90.00, 120.00 degrees
Fractional coordinates of all 6 atoms:
N 0.667 0.333 0.667
Tb 0.333 0.667 0.833
N 0.333 0.667 0.333
N 0.000 0.000 0.000
Gd 0.000 0.000 0.500
Tb 0.667 0.333 0.167

---

Computed, not measured: a relaxed Gd3Te3N crystal at the PBE level of DFT.

Computed properties:
SG: P2_1/c

Cell lengths 8.191, 12.109, 8.704 Å; angles 90.00, 109.27, 90.00 degrees
Fractional coordinates of all 28 atoms:
Te 0.275 0.023 0.082
Gd 0.731 0.708 0.839
Gd 0.102 0.522 0.860
Te 0.725 0.977 0.918
Gd 0.341 0.590 0.296
Te 0.453 0.688 0.013
Te 0.993 0.234 0.316
Te 0.547 0.188 0.487
Gd 0.659 0.410 0.704
Te 0.007 0.766 0.684
Gd 0.269 0.292 0.161
Te 0.993 0.266 0.816
Te 0.453 0.812 0.513
N 0.827 0.534 0.876
Te 0.007 0.734 0.184
Te 0.547 0.312 0.987
Gd 0.898 0.022 0.640
N 0.173 0.466 0.124
N 0.173 0.034 0.624
Gd 0.659 0.090 0.204
Te 0.275 0.477 0.582
Gd 0.341 0.910 0.796
Gd 0.898 0.478 0.140
N 0.827 0.966 0.376
Te 0.725 0.523 0.418
Gd 0.731 0.792 0.339
Gd 0.269 0.208 0.661
Gd 0.102 0.978 0.360

---

Computed, not measured: a relaxed GdY2N3 crystal at the PBE level of DFT.

Computed properties:
SG: P-3m1

Cell lengths 3.479, 3.479, 8.515 Å; angles 90.00, 90.00, 120.00 degrees
Fractional coordinates of all 6 atoms:
Y 0.667 0.333 0.165
Gd 0.000 0.000 0.500
N 0.333 0.667 0.331
N 0.000 0.000 0.000
N 0.667 0.333 0.669
Y 0.333 0.667 0.835

---

Computed, not measured: a relaxed GdYN2 crystal at the PBE level of DFT.

Computed properties:
SG: P4/mmm

Cell lengths 3.487, 3.487, 4.932 Å; angles 90.00, 90.00, 90.00 degrees
Fractional coordinates of all 4 atoms:
N 0.500 0.500 0.000
Y 0.500 0.500 0.500
N 0.000 0.000 0.500
Gd 0.000 0.000 0.000

---

Computed, not measured: a relaxed GdZr2N3 crystal at the PBE level of DFT.

Computed properties:
SG: P-3m1

Cell lengths 3.317, 3.317, 8.193 Å; angles 90.00, 90.00, 120.00 degrees
Fractional coordinates of all 6 atoms:
Gd 0.000 0.000 0.500
N 0.333 0.667 0.315
N 0.000 0.000 0.000
N 0.667 0.333 0.685
Zr 0.667 0.333 0.161
Zr 0.333 0.667 0.839

---

Computed, not measured: a relaxed NaGdNb crystal at the PBE level of DFT.

Computed properties:
SG: F-43m

Cell lengths 5.126, 5.126, 5.126 Å; angles 60.00, 60.00, 60.00 degrees
Each line ends with the local moment (μB).
Fractional coordinates of all 3 atoms:
Gd 0.500 0.500 0.500  0.62
Nb 0.250 0.250 0.250  2.54
Na 0.000 0.000 0.000  0.00

---

Computed, not measured: a relaxed NaGdO2 crystal at the PBE level of DFT.

Computed properties:
SG: Pnma

Cell lengths 11.176, 3.409, 5.702 Å; angles 90.00, 90.00, 90.00 degrees
Fractional coordinates of all 16 atoms:
Gd 0.635 0.250 0.575
O 0.754 0.250 0.908
Na 0.101 0.750 0.418
O 0.254 0.250 0.592
O 0.487 0.250 0.284
Na 0.601 0.750 0.082
Na 0.899 0.250 0.582
O 0.987 0.250 0.216
O 0.746 0.750 0.408
O 0.513 0.750 0.716
Gd 0.365 0.750 0.425
Na 0.399 0.250 0.918
O 0.013 0.750 0.784
O 0.246 0.750 0.092
Gd 0.865 0.750 0.075
Gd 0.135 0.250 0.925

---

no.,energy (eV per cell)
1,-48.41
2,-48.77
3,-169.13
4,-52.55
5,-34.37
6,-56.81
7,-11.93
8,-107.05